# 1
## NaMnGe2Ir (PBE)

Data for a relaxed structure of NaMnGe2Ir.

a = 4.0100 Å, b = 4.0100 Å, c = 10.9979 Å
α = 90.00°, β = 90.00°, γ = 90.00°
With the nearest neighbours (Å) after each atom.
Space group I-4m2 (No. 119)
Unique sites:
Na (0.0000, 0.0000, 0.0000) [2 per cell]  8 Ge 3.12, 4 Mn 3.40, 4 Ir 3.40
Mn (0.0000, 0.5000, 0.7500) [2 per cell]  4 Ge 2.47
Ge (0.0000, 0.0000, 0.3816) [4 per cell]  2 Mn 2.47, 2 Ir 2.47, 1 Ge 2.60
Ir (0.0000, 0.5000, 0.2500) [2 per cell]  4 Ge 2.47

For the calculated total energy, the calculation gives -59.23 eV/cell. The magnetic moment is 2.53 μB per formula unit.


# 2
## PtS2ClO (PBE)

Data for a relaxed structure of PtS2ClO.

a = 4.2158 Å, b = 4.2158 Å, c = 4.4120 Å
α = 90.00°, β = 90.00°, γ = 90.00°
With the nearest neighbours (Å) after each atom.
Space group P4/mmm (No. 123)
Unique sites:
Pt (0.0000, 0.0000, 0.0000) [1 per cell]  4 Cl 2.98, 8 S 3.05
S (0.0000, 0.5000, 0.5000) [2 per cell]  2 O 2.11
Cl (0.5000, 0.5000, 0.0000) [1 per cell]  2 O 2.21
O (0.5000, 0.5000, 0.5000) [1 per cell]  4 S 2.11, 2 Cl 2.21

For the calculated total energy, the calculation gives -15.46 eV/cell. The magnetic moment is 0.00 μB per formula unit. The value obtained for the uncorrected formation energy is 1128 meV/atom.